Entry 1:
# MgCdW2 | the Alexandria database | PBE | relaxed
# VASP energy = -0.4855 Ry per atom
# Calculated density = 11.74 Mg/m³
# Size of the total moment = 0.00 μB/f.u.
# Formation energy from the elements = 0.498 eV per atom
# DOS(E_F) = 2.6 states/eV/f.u.
# Polymorph energy (0 for the lowest one) = 20.4 kJ per mole of atoms
data_MgCdW2
_chemical_formula_sum 'Mg1 Cd1 W2'
_cell_length_a 2.746
_cell_length_b 4.335
_cell_length_c 5.992
_cell_angle_alpha 90.00
_cell_angle_beta 90.00
_cell_angle_gamma 90.00
_symmetry_space_group_name_H-M 'P m m 2'
_symmetry_Int_Tables_number 25
_symmetry_space_group_name_Hall 'P 2 -2'
loop_
_atom_site_label
_atom_site_type_symbol
_atom_site_fract_x
_atom_site_fract_y
_atom_site_fract_z
Mg1 Mg 0.000 0.000 0.000
Cd1 Cd 0.500 0.500 0.765
W1 W 0.000 0.000 0.475
W2 W 0.500 0.500 0.274


Entry 2:
# GaAsI3 | the Alexandria database | PBE | relaxed
# VASP energy = -0.1820 Ry per atom
# Calculated density = 4.52 Mg/m³
# Size of the total moment = 0.00 μB/f.u.
# Uncorrected formation energy = -0.1 eV per formula unit
# DOS(E_F) = 1.4 states/eV/f.u.
# Polymorph energy (0 for the lowest one) = 0.0 kJ per mole of atoms
data_GaAsI3
_chemical_formula_sum 'Ga1 As1 I3'
_cell_length_a 5.781
_cell_length_b 5.781
_cell_length_c 5.781
_cell_angle_alpha 90.00
_cell_angle_beta 90.00
_cell_angle_gamma 90.00
_symmetry_space_group_name_H-M 'P m -3 m'
_symmetry_Int_Tables_number 221
_symmetry_space_group_name_Hall '-P 4 2 3'
loop_
_atom_site_label
_atom_site_type_symbol
_atom_site_fract_x
_atom_site_fract_y
_atom_site_fract_z
Ga1 Ga 0.000 0.000 0.000
As1 As 0.500 0.500 0.500
I1 I 0.000 0.500 0.500


Entry 3:
# KZn3Sn | the Alexandria database | PBE | relaxed
# VASP energy = -0.1122 Ry per atom
# Calculated density = 3.67 Mg/m³
# Size of the total moment = 0.00 μB/f.u.
# Formation energy from the elements = 0.258 eV per atom
# DOS(E_F) = 3.3 states/eV/f.u.
# Polymorph energy (0 for the lowest one) = 22.3 kJ per mole of atoms
data_KZn3Sn
_chemical_formula_sum 'K1 Zn3 Sn1'
_cell_length_a 5.432
_cell_length_b 5.432
_cell_length_c 5.432
_cell_angle_alpha 90.00
_cell_angle_beta 90.00
_cell_angle_gamma 90.00
_symmetry_space_group_name_H-M 'P m -3 m'
_symmetry_Int_Tables_number 221
_symmetry_space_group_name_Hall '-P 4 2 3'
loop_
_atom_site_label
_atom_site_type_symbol
_atom_site_fract_x
_atom_site_fract_y
_atom_site_fract_z
K1 K 0.000 0.000 0.000
Zn1 Zn 0.000 0.500 0.500
Sn1 Sn 0.500 0.500 0.500


- What is the size of the total moment in the third record?
  0.00 μB/f.u.


- What is the calculated density in the second record?
  4.52 Mg/m³


- The lowest DOS(E_F) belongs to which entry?
  GaAsI3